Record 1
DFT (PBE) results for a relaxed structure of Rb3Ce3PdSe8.

abc: 15.160 8.215 9.524
angles: 90.00 122.72 90.00
Space group C2/m (No. 12)
Inequivalent atoms, fractional coordinates:
Rb 0.000 0.000 0.000 [2 per cell]
Rb 0.250 0.250 0.000 [4 per cell]
Ce 0.000 0.500 0.500 [2 per cell]
Ce 0.250 0.250 0.500 [4 per cell]
Pd 0.000 0.000 0.500 [2 per cell]
Se 0.020 0.219 0.331 [8 per cell]
Se 0.203 0.500 0.264 [4 per cell]
Se 0.231 0.500 0.702 [4 per cell]

Summary:
- formation energy from raw total energies (eV/atom) = -1.39
- calculated volume (Å³ per atom) = 33.3

Record 2
DFT (PBE) results for a relaxed structure of RbCePdSe2.

abc: 8.389 4.835 8.074
angles: 90.00 100.69 90.00
Space group P2/c (No. 13)
Inequivalent atoms, fractional coordinates:
Rb 0.000 0.186 0.250 [2 per cell]
Ce 0.500 0.476 0.750 [2 per cell]
Pd 0.500 0.000 0.000 [2 per cell]
Se 0.262 0.311 0.963 [4 per cell]

Summary:
- formation energy from raw total energies (eV/atom) = -1.21
- calculated volume (Å³ per atom) = 32.2

Record 3
DFT (PBE) results for a relaxed structure of Ce2RePd.

abc: 3.0114 3.0114 30.7832
angles: 90.00 90.00 120.00
Space group R-3m (No. 166, hexagonal axes)
Inequivalent atoms, fractional coordinates:
Ce 0.0000 0.0000 0.0838 [6 per cell]
Re 0.0000 0.0000 0.0000 [3 per cell]
Pd 0.0000 0.0000 0.5000 [3 per cell]

Summary:
- calculated volume (Å³ per atom) = 20.1
- energy of formation (eV per atom) = 0.241

Record 4
DFT (PBE) results for a relaxed structure of Ce2RePd.

abc: 3.421 3.421 7.410
angles: 90.00 90.00 90.00
Space group P4/mmm (No. 123)
Inequivalent atoms, fractional coordinates:
Ce 0.000 0.000 0.237 [2 per cell]
Re 0.500 0.500 0.000 [1 per cell]
Pd 0.500 0.500 0.500 [1 per cell]

Summary:
- calculated volume (Å³ per atom) = 21.7
- energy of formation (eV per atom) = -0.243